# 1
A plane-wave DFT calculation with PBE-GGA was carried out for an optimized crystal structure of RbDyTe3As.

Calculated values
The calculation puts the magnetic moment at 0.2 μB/f.u. Its crystal system is orthorhombic. The final energy comes out at -3.99 eV per atom.

Cell: 9.0033 9.0033 11.1809 Å, 90.00 90.00 151.26°
Element x y z (fractional)
Te1 0.8771 0.1229 0.4571
Te2 0.8771 0.1229 0.0429
Te3 0.1229 0.8771 0.9571
Te4 0.4123 0.5877 0.7500
Te5 0.1229 0.8771 0.5429
Te6 0.5877 0.4123 0.2500
Dy1 0.5000 0.5000 0.0000
Dy2 0.5000 0.5000 0.5000
Rb1 0.7388 0.2612 0.7500
Rb2 0.2612 0.7388 0.2500
As1 0.9603 0.0397 0.2500
As2 0.0397 0.9603 0.7500

***

# 2
A plane-wave DFT calculation with PBE-GGA was carried out for an optimized crystal structure of PaPdW.

Calculated values
The calculation puts the magnetic moment at 0.0 μB/f.u. Its crystal system is cubic. The value obtained for the energy of formation from the pure elements is 0.5509 eV/atom. The final energy comes out at -8.66 eV per atom.

Cell: 4.5005 4.5005 4.5005 Å, 60.00 60.00 60.00°
Element x y z (fractional)
W1 0.2500 0.2500 0.2500
Pa1 0.0000 0.0000 0.0000
Pd1 0.5000 0.5000 0.5000

***

# 3
A plane-wave DFT calculation with PBE-GGA was carried out for an optimized crystal structure of TlNi2Te3.

Calculated values
The calculation puts the magnetic moment at 0.0 μB/f.u. Its crystal system is orthorhombic. The final energy comes out at -4.00 eV per atom.

Cell: 7.1023 7.1023 10.9895 Å, 90.00 90.00 148.63°
Element x y z (fractional)
Te1 0.3757 0.6243 0.5221
Te2 0.0152 0.9848 0.7500
Te3 0.6243 0.3757 0.4779
Te4 0.3757 0.6243 0.9779
Te5 0.6243 0.3757 0.0221
Te6 0.9848 0.0152 0.2500
Tl1 0.2588 0.7412 0.2500
Tl2 0.7412 0.2588 0.7500
Ni1 0.0000 0.0000 0.0000
Ni2 0.3935 0.6065 0.7500
Ni3 0.6065 0.3935 0.2500
Ni4 0.0000 0.0000 0.5000

***

# 4
A plane-wave DFT calculation with PBE-GGA was carried out for an optimized crystal structure of TbErMg4.

Calculated values
The calculation puts the magnetic moment at 0.0 μB/f.u. Its crystal system is orthorhombic. The final energy comes out at -2.63 eV per atom.

Cell: 6.1679 6.1679 6.1679 Å, 129.92 115.66 85.71°
Element x y z (fractional)
Mg1 0.5825 0.8333 0.7492
Mg2 0.4166 0.1667 0.2500
Mg3 0.0842 0.8333 0.2508
Mg4 0.9167 0.1667 0.7500
Er1 0.5001 0.5001 0.0000
Tb1 0.9999 0.4999 0.5000

***

# 5
A plane-wave DFT calculation with PBE-GGA was carried out for an optimized crystal structure of NbAl2N.

Calculated values
The calculation puts the magnetic moment at 0.0 μB/f.u. Its crystal system is hexagonal. The final energy comes out at -6.94 eV per atom.

Cell: 2.9097 2.9097 14.2295 Å, 90.00 90.00 120.00°
Element x y z (fractional)
Al1 0.6667 0.3333 0.9161
Al2 0.3333 0.6667 0.4161
Al3 0.3333 0.6667 0.0839
Al4 0.6667 0.3333 0.5839
Nb1 0.3333 0.6667 0.7500
Nb2 0.6667 0.3333 0.2500
N1 0.0000 0.0000 0.0000
N2 0.0000 0.0000 0.5000

***

# 6
A plane-wave DFT calculation with PBE-GGA was carried out for an optimized crystal structure of ReBiPO.

Calculated values
The calculation puts the magnetic moment at 0.0 μB/f.u. Its crystal system is orthorhombic. The final energy comes out at -7.03 eV per atom.

Cell: 3.2243 7.0642 7.3967 Å, 90.00 90.00 90.00°
Element x y z (fractional)
P1 0.0000 0.7672 0.4369
P2 0.0000 0.2328 0.9369
O1 0.5000 0.5465 0.7517
O2 0.5000 0.4535 0.2517
Bi1 0.0000 0.1769 0.5671
Bi2 0.0000 0.8231 0.0671
Re1 0.5000 0.5336 0.4983
Re2 0.5000 0.4664 0.9983

***

# 7
A plane-wave DFT calculation with PBE-GGA was carried out for an optimized crystal structure of TmScH2Br4.

Calculated values
The calculation puts the magnetic moment at 0.0 μB/f.u. Its crystal system is hexagonal. The final energy comes out at -4.42 eV per atom.

Cell: 3.6915 3.6915 14.5986 Å, 90.00 90.00 120.00°
Element x y z (fractional)
H1 0.6667 0.3333 0.0000
H2 0.3333 0.6667 0.5000
Tm1 0.0000 0.0000 0.5000
Br1 0.3333 0.6667 0.1245
Br2 0.3333 0.6667 0.8755
Br3 0.6667 0.3333 0.6317
Br4 0.6667 0.3333 0.3683
Sc1 0.0000 0.0000 0.0000

***

# 8
A plane-wave DFT calculation with PBE-GGA was carried out for an optimized crystal structure of Sr2TlCoH6.

Calculated values
The calculation puts the magnetic moment at 0.0 μB/f.u. Its crystal system is cubic. The final energy comes out at -3.55 eV per atom.

Cell: 5.6056 5.6056 5.6056 Å, 60.00 60.00 60.00°
Element x y z (fractional)
Sr1 0.7500 0.7500 0.7500
Sr2 0.2500 0.2500 0.2500
H1 0.7979 0.2021 0.2021
H2 0.2021 0.7979 0.2021
H3 0.2021 0.7979 0.7979
H4 0.7979 0.2021 0.7979
H5 0.7979 0.7979 0.2021
H6 0.2021 0.2021 0.7979
Co1 0.0000 0.0000 0.0000
Tl1 0.5000 0.5000 0.5000